Entry 1:
# NpAlFeTc

A geometry-optimized NpAlFeTc structure (PBE-GGA, the Alexandria database).

CIF file:
```
data_NpAlFeTc
_chemical_formula_sum 'Np4 Al4 Fe4 Tc4'
_symmetry_space_group_name_H-M 'F -4 3 m'
_symmetry_Int_Tables_number 216
_symmetry_space_group_name_Hall 'F -4 2 3'
_cell_length_a 6.3156
_cell_length_b 6.3156
_cell_length_c 6.3156
_cell_angle_alpha 90.00
_cell_angle_beta 90.00
_cell_angle_gamma 90.00
loop_
_atom_site_label
_atom_site_fract_x
_atom_site_fract_y
_atom_site_fract_z
Np1 0.0000 0.0000 0.0000
Al1 0.0000 0.0000 0.5000
Fe1 0.2500 0.2500 0.7500
Tc1 0.2500 0.2500 0.2500
```

Values from the calculation:
* crystal system: cubic
* ΔH_f (0 K): -0.101 eV per atom
* total magnetic moment: 0.47 μB per atom
* DFT total energy: -8.9788 eV per atom
* V: 63.0 Å³/f.u.



Entry 2:
# Pr2Nd3Sn3

A geometry-optimized Pr2Nd3Sn3 structure (PBE-GGA, the Alexandria database).

CIF file:
```
data_Pr2Nd3Sn3
_chemical_formula_sum 'Pr4 Nd6 Sn6'
_symmetry_space_group_name_H-M 'P 63/m c m'
_symmetry_Int_Tables_number 193
_symmetry_space_group_name_Hall '-P 6c 2'
_cell_length_a 9.3422
_cell_length_b 9.3422
_cell_length_c 6.8694
_cell_angle_alpha 90.00
_cell_angle_beta 90.00
_cell_angle_gamma 120.00
loop_
_atom_site_label
_atom_site_fract_x
_atom_site_fract_y
_atom_site_fract_z
Pr1 0.3333 0.6667 0.0000
Nd1 0.0000 0.2420 0.2500
Sn1 0.0000 0.3926 0.7500
```

Values from the calculation:
* crystal system: hexagonal
* ΔH_f (0 K): -0.683 eV per atom
* total magnetic moment: 0.00 μB per atom
* DFT total energy: -5.1666 eV per atom
* V: 259.6 Å³/f.u.



Entry 3:
# Mo3Br

A geometry-optimized Mo3Br structure (PBE-GGA, the Alexandria database).

CIF file:
```
data_Mo3Br
_chemical_formula_sum 'Mo12 Br4'
_symmetry_space_group_name_H-M 'I 4/m m m'
_symmetry_Int_Tables_number 139
_symmetry_space_group_name_Hall '-I 4 2'
_cell_length_a 3.7409
_cell_length_b 3.7409
_cell_length_c 18.9589
_cell_angle_alpha 90.00
_cell_angle_beta 90.00
_cell_angle_gamma 90.00
loop_
_atom_site_label
_atom_site_fract_x
_atom_site_fract_y
_atom_site_fract_z
Mo1 0.0000 0.0000 0.1314
Mo2 0.0000 0.5000 0.0000
Mo3 0.0000 0.5000 0.2500
Br1 0.0000 0.0000 0.3727
```

Values from the calculation:
* crystal system: tetragonal
* total magnetic moment: 0.05 μB per atom
* DFT total energy: -7.4819 eV per atom
* offset from the most stable computed form: 0.629 eV per atom
* V: 66.3 Å³/f.u.
* formation energy from raw total energies: 1060 meV per atom



Entry 4:
# NaTlSbS3

A geometry-optimized NaTlSbS3 structure (PBE-GGA, the Alexandria database).

CIF file:
```
data_NaTlSbS3
_chemical_formula_sum 'Na4 Tl4 Sb4 S12'
_symmetry_space_group_name_H-M 'C m c m'
_symmetry_Int_Tables_number 63
_symmetry_space_group_name_Hall '-C 2c 2'
_cell_length_a 7.1057
_cell_length_b 13.9977
_cell_length_c 7.0136
_cell_angle_alpha 90.00
_cell_angle_beta 90.00
_cell_angle_gamma 90.00
loop_
_atom_site_label
_atom_site_fract_x
_atom_site_fract_y
_atom_site_fract_z
Na1 0.0000 0.0968 0.2500
Tl1 0.0000 0.1929 0.7500
Sb1 0.0000 0.4582 0.2500
S1 0.0000 0.2877 0.2500
S2 0.2395 0.0000 0.0000
```

Values from the calculation:
* crystal system: orthorhombic
* total magnetic moment: 0.00 μB per atom
* DFT total energy: -3.7798 eV per atom
* V: 174.4 Å³/f.u.
* formation energy from raw total energies: -415 meV per atom



Entry 5:
# Pm7Mg2Ga2

A geometry-optimized Pm7Mg2Ga2 structure (PBE-GGA, the Alexandria database).

CIF file:
```
data_Pm7Mg2Ga2
_chemical_formula_sum 'Pm14 Mg4 Ga4'
_symmetry_space_group_name_H-M 'C m m m'
_symmetry_Int_Tables_number 65
_symmetry_space_group_name_Hall '-C 2 2'
_cell_length_a 7.5093
_cell_length_b 10.6607
_cell_length_c 8.6271
_cell_angle_alpha 90.00
_cell_angle_beta 90.00
_cell_angle_gamma 90.00
loop_
_atom_site_label
_atom_site_fract_x
_atom_site_fract_y
_atom_site_fract_z
Pm1 0.0000 0.0000 0.0000
Pm2 0.0000 0.5000 0.2978
Pm3 0.2500 0.2500 0.3003
Mg1 0.0000 0.3198 0.0000
Ga1 0.1665 0.0000 0.5000
```

Values from the calculation:
* crystal system: orthorhombic
* ΔH_f (0 K): 0.072 eV per atom
* total magnetic moment: 0.00 μB per atom
* DFT total energy: -3.7912 eV per atom
* V: 345.3 Å³/f.u.



Entry 6:
# Ga2BiC

A geometry-optimized Ga2BiC structure (PBE-GGA, the Alexandria database).

CIF file:
```
data_Ga2BiC
_chemical_formula_sum 'Ga8 Bi4 C4'
_symmetry_space_group_name_H-M 'I -4 2 d'
_symmetry_Int_Tables_number 122
_symmetry_space_group_name_Hall 'I -4 2bw'
_cell_length_a 5.6709
_cell_length_b 5.6709
_cell_length_c 10.1660
_cell_angle_alpha 90.00
_cell_angle_beta 90.00
_cell_angle_gamma 90.00
loop_
_atom_site_label
_atom_site_fract_x
_atom_site_fract_y
_atom_site_fract_z
Ga1 0.1263 0.2500 0.1250
Bi1 0.0000 0.0000 0.5000
C1 0.0000 0.0000 0.0000
```

Values from the calculation:
* crystal system: tetragonal
* ΔH_f (0 K): 0.463 eV per atom
* total magnetic moment: 0.00 μB per atom
* DFT total energy: -4.3263 eV per atom
* offset from the most stable computed form: 0.000 eV per atom
* V: 81.7 Å³/f.u.